No. 1
PBE KMg2PW, optimized geometry; ΔH_f (0 K) = 807 kJ/mol of formula units; M_tot = 3.2 Bohr magnetons per cell
1.0
5.379 0.000 0.000
0.000 5.379 0.000
0.000 0.000 6.108
K Mg P W
1 2 1 1
Cartesian
0.000 0.000 0.000
0.000 2.690 3.054
2.690 0.000 3.054
2.690 2.690 0.000
0.000 0.000 3.054


No. 2
PBE In3OsN, optimized geometry; ΔE to the lowest computed polymorph = 188.6 meV per atom; M_tot = 2.7 Bohr magnetons per cell; uncorrected formation energy = 1.12 eV per atom
1.0
5.196 0.000 0.000
0.000 5.196 0.000
0.000 0.000 5.196
In Os N
3 1 1
Cartesian
0.000 0.000 2.598
0.000 2.598 0.000
2.598 0.000 0.000
0.000 0.000 0.000
2.598 2.598 2.598


No. 3
PBE K2SmInTe4, optimized geometry; M_tot = 0.0 Bohr magnetons per cell; uncorrected formation energy = -0.95 eV per atom
1.0
-4.596 4.705 6.676
4.596 -4.705 6.676
4.596 4.705 -6.676
K Sm In Te
4 2 2 8
Cartesian
0.000 0.000 0.000
-2.298 2.353 3.338
0.000 4.705 0.000
2.298 2.353 3.338
4.596 0.000 0.000
0.000 0.000 6.676
2.298 2.353 -3.338
2.298 -2.353 3.338
4.596 -0.334 3.199
4.596 4.371 -3.199
2.488 2.353 -0.156
6.703 2.353 -0.156
-2.108 2.353 6.832
2.108 2.353 6.832
0.000 0.334 9.875
0.000 5.040 3.477


No. 4
PBE Sr2HgH, optimized geometry; ΔE to the lowest computed polymorph = 0.0 meV per atom; M_tot = 0.0 Bohr magnetons per cell
1.0
2.884 -6.909 0.000
2.884 6.909 0.000
0.000 0.000 5.758
Sr Hg H
4 2 2
Cartesian
1.333 1.478 0.000
1.333 -1.478 2.879
4.435 1.478 2.879
4.435 -1.478 0.000
1.442 3.455 2.879
1.442 -3.455 0.000
0.000 0.000 1.439
0.000 0.000 4.318


| no. | Fermi-level density of states (states/eV/f.u.) | mass density (g cm⁻³) |
| --- | --- | --- |
| 1 | 5.2 | 2.8 |
| 2 | 2.1 | 6.5 |
| 3 | 1.8 | 4.9 |
| 4 | 2.3 | 5.5 |